(one)
Entry from the Alexandria database: a relaxed Ni3Pt2 crystal (PBE). Values from VASP.

Cell and atoms, written as Quantum ESPRESSO input:
```
&SYSTEM
  ibrav = 0, nat = 5, ntyp = 2
/
ATOMIC_SPECIES
Ni 58.69 Ni.upf
Pt 195.08 Pt.upf
CELL_PARAMETERS angstrom
-5.364 5.462 -4.946
-1.747 -2.016 0.405
-0.572 0.986 2.445
ATOMIC_POSITIONS crystal
Ni 0.024 0.012 0.012
Ni 0.200 0.600 0.600
Ni 0.376 0.188 0.188
Pt 0.581 0.790 0.790
Pt 0.819 0.410 0.410
```

Calculated values
DOS(E_F)	8.8	states/eV/f.u.
density	14.5	g cm⁻³



(two)
Entry from the Alexandria database: a relaxed Ni3Pt2 crystal (PBE). Values from VASP.

Cell and atoms, written as Quantum ESPRESSO input:
```
&SYSTEM
  ibrav = 0, nat = 10, ntyp = 2
/
ATOMIC_SPECIES
Ni 58.69 Ni.upf
Pt 195.08 Pt.upf
CELL_PARAMETERS angstrom
4.646 0.000 0.000
0.000 5.728 0.000
-2.323 -2.864 5.104
ATOMIC_POSITIONS crystal
Ni 0.750 0.000 0.000
Ni 0.250 0.000 0.000
Ni 0.923 0.271 0.847
Ni 0.577 0.424 0.153
Ni 0.423 0.576 0.847
Ni 0.077 0.729 0.153
Pt 0.180 0.426 0.361
Pt 0.820 0.574 0.639
Pt 0.320 0.065 0.639
Pt 0.680 0.935 0.361
```

Calculated values
DOS(E_F)	8.7	states/eV/f.u.
density	13.8	g cm⁻³



(three)
Entry from the Alexandria database: a relaxed Ni3Pt2 crystal (PBE). Values from VASP.

Cell and atoms, written as Quantum ESPRESSO input:
```
&SYSTEM
  ibrav = 0, nat = 10, ntyp = 2
/
ATOMIC_SPECIES
Ni 58.69 Ni.upf
Pt 195.08 Pt.upf
CELL_PARAMETERS angstrom
2.683 0.000 0.000
0.000 10.784 0.000
0.000 0.603 4.544
ATOMIC_POSITIONS crystal
Ni 0.000 0.016 0.994
Ni 0.500 0.208 0.090
Ni 0.000 0.392 0.210
Ni 0.500 0.584 0.306
Ni 0.000 0.210 0.601
Ni 0.500 0.390 0.699
Pt 0.000 0.795 0.399
Pt 0.500 0.019 0.490
Pt 0.000 0.581 0.810
Pt 0.500 0.805 0.901
```

Calculated values
DOS(E_F)	8.3	states/eV/f.u.
density	14.3	g cm⁻³



Most stable: (one). Least stable: (two).



(one)
Entry from the Alexandria database: a relaxed Ni3Pt2 crystal (PBE). Values from VASP.

Cell and atoms, written as Quantum ESPRESSO input:
```
&SYSTEM
  ibrav = 0, nat = 5, ntyp = 2
/
ATOMIC_SPECIES
Ni 58.69 Ni.upf
Pt 195.08 Pt.upf
CELL_PARAMETERS angstrom
2.061 -3.569 0.000
2.061 3.569 0.000
0.000 0.000 5.061
ATOMIC_POSITIONS crystal
Ni 0.000 0.000 0.000
Ni 0.667 0.333 0.633
Ni 0.333 0.667 0.367
Pt 0.667 0.333 0.151
Pt 0.333 0.667 0.849
```

Calculated values
DOS(E_F)	11.4	states/eV/f.u.
density	12.6	g cm⁻³



(two)
Entry from the Alexandria database: a relaxed Ni3Pt2 crystal (PBE). Values from VASP.

Cell and atoms, written as Quantum ESPRESSO input:
```
&SYSTEM
  ibrav = 0, nat = 10, ntyp = 2
/
ATOMIC_SPECIES
Ni 58.69 Ni.upf
Pt 195.08 Pt.upf
CELL_PARAMETERS angstrom
-1.797 -1.985 -0.235
4.497 -4.262 1.614
-3.217 2.105 6.812
ATOMIC_POSITIONS crystal
Ni 0.000 0.020 0.010
Ni 0.500 0.108 0.289
Ni 0.000 0.199 0.610
Ni 0.500 0.300 0.904
Ni 0.000 0.395 0.192
Ni 0.000 0.580 0.795
Pt 0.500 0.480 0.498
Pt 0.500 0.699 0.083
Pt 0.000 0.814 0.398
Pt 0.500 0.905 0.720
```

Calculated values
DOS(E_F)	8.0	states/eV/f.u.
density	14.4	g cm⁻³



Most stable: (two). Least stable: (one).



(one)
Entry from the Alexandria database: a relaxed Ni3Pt2 crystal (PBE). Values from VASP.

Cell and atoms, written as Quantum ESPRESSO input:
```
&SYSTEM
  ibrav = 0, nat = 5, ntyp = 2
/
ATOMIC_SPECIES
Ni 58.69 Ni.upf
Pt 195.08 Pt.upf
CELL_PARAMETERS angstrom
-0.761 10.554 1.006
-3.049 10.177 -0.352
-3.017 9.924 2.323
ATOMIC_POSITIONS crystal
Ni 0.000 0.000 0.000
Ni 0.803 0.803 0.803
Ni 0.197 0.197 0.197
Pt 0.599 0.599 0.599
Pt 0.401 0.401 0.401
```

Calculated values
DOS(E_F)	7.1	states/eV/f.u.
density	14.3	g cm⁻³



(two)
Entry from the Alexandria database: a relaxed Ni3Pt2 crystal (PBE). Values from VASP.

Cell and atoms, written as Quantum ESPRESSO input:
```
&SYSTEM
  ibrav = 0, nat = 10, ntyp = 2
/
ATOMIC_SPECIES
Ni 58.69 Ni.upf
Pt 195.08 Pt.upf
CELL_PARAMETERS angstrom
-0.949 -4.839 0.667
4.590 1.918 -0.100
1.576 -0.547 6.563
ATOMIC_POSITIONS crystal
Ni 0.661 0.732 0.804
Ni 0.536 0.465 0.196
Ni 0.215 0.786 0.696
Ni 0.482 0.911 0.304
Ni 0.056 0.056 0.000
Ni 0.806 0.306 0.500
Pt 0.649 0.201 0.897
Pt 0.098 0.547 0.103
Pt 0.297 0.348 0.603
Pt 0.951 0.899 0.397
```

Calculated values
DOS(E_F)	8.0	states/eV/f.u.
density	14.4	g cm⁻³



Most stable: (one). Least stable: (two).



(one)
Entry from the Alexandria database: a relaxed Ni5Pt3 crystal (PBE). Values from VASP.

Cell and atoms, written as Quantum ESPRESSO input:
```
&SYSTEM
  ibrav = 0, nat = 8, ntyp = 2
/
ATOMIC_SPECIES
Ni 58.69 Ni.upf
Pt 195.08 Pt.upf
CELL_PARAMETERS angstrom
2.683 0.000 0.000
0.000 2.683 0.000
0.000 0.000 14.298
ATOMIC_POSITIONS crystal
Ni 0.000 0.000 0.259
Ni 0.500 0.500 0.629
Ni 0.500 0.500 0.371
Ni 0.000 0.000 0.741
Ni 0.000 0.000 0.000
Pt 0.500 0.500 0.130
Pt 0.500 0.500 0.870
Pt 0.000 0.000 0.500
```

Calculated values
DOS(E_F)	12.5	states/eV/f.u.
density	14.2	g cm⁻³



(two)
Entry from the Alexandria database: a relaxed Ni5Pt3 crystal (PBE). Values from VASP.

Cell and atoms, written as Quantum ESPRESSO input:
```
&SYSTEM
  ibrav = 0, nat = 8, ntyp = 2
/
ATOMIC_SPECIES
Ni 58.69 Ni.upf
Pt 195.08 Pt.upf
CELL_PARAMETERS angstrom
-1.635 -0.258 -2.127
1.373 -2.180 -0.791
-8.641 -8.210 7.636
ATOMIC_POSITIONS crystal
Ni 0.000 0.000 0.779
Ni 0.500 0.500 0.889
Ni 0.000 0.000 0.000
Ni 0.500 0.500 0.111
Ni 0.000 0.000 0.221
Pt 0.500 0.500 0.350
Pt 0.000 0.000 0.500
Pt 0.500 0.500 0.650
```

Calculated values
DOS(E_F)	15.1	states/eV/f.u.
density	14.2	g cm⁻³



Most stable: (one). Least stable: (two).